Compound: CaErF4
Source: the Alexandria database
Functional: PBE
Structure: relaxed

Cell lengths 6.3623, 6.3623, 6.3623 Å; angles 111.00, 111.00, 106.46 degrees
Atoms (fractional coordinates):
1 Ca 0.0000 0.0000 0.0000
2 Ca 0.7500 0.2500 0.5000
3 Er 0.2649 0.7649 0.5000
4 Er 0.5149 0.5149 0.0000
5 F 0.1903 0.5019 0.6884
6 F 0.2519 0.0635 0.8116
7 F 0.2519 0.4403 0.1884
8 F 0.3234 0.0089 0.3145
9 F 0.6944 0.0089 0.6855
10 F 0.7589 0.5734 0.8145
11 F 0.7589 0.9444 0.1855
12 F 0.8135 0.5019 0.3116

Output
**DFT total energy**: -5.91 eV per atom
**Symmetry**: I4_1md (109)
**Formation energy (no corrections)**: -3566 meV per atom
**Magnetic moment**: 0.71 μB/f.u.
**Calculated volume**: 197.8 Å³ per cell